1.
Computed, not measured: crystalline AlCuPtO6 at its relaxed geometry at the PBE level of DFT.

## Properties
V: 10.18 A^3/atom
SG: P-31c (163)
VASP energy: -5.78 eV/atom
magnetic moment: 3.77 Bohr magnetons per cell
ΔE_f (raw): -8.43 eV per formula unit

extended XYZ file:
```
18
Lattice="5.002 0.000 0.000 -2.501 4.332 0.000 0.000 0.000 8.460" Properties=species:S:1:pos:R:3 pbc="T T T"
O 3.263 0.052 3.152
O 1.739 0.052 1.078
O -0.762 4.280 5.308
O -1.587 2.851 7.382
O 3.326 2.800 3.152
O 1.676 2.800 1.078
O 0.914 1.481 3.152
O 4.088 1.481 1.078
O -0.825 1.532 5.308
O 1.587 2.851 5.308
O 0.762 4.280 7.382
O 0.825 1.532 7.382
Pt 2.501 1.444 6.345
Pt 0.000 2.888 2.115
Cu 0.000 0.000 4.230
Cu 0.000 0.000 0.000
Al 0.000 2.888 6.345
Al 2.501 1.444 2.115
```

2.
Computed, not measured: crystalline LaThBiSe at its relaxed geometry at the PBE level of DFT.

## Properties
V: 31.38 A^3/atom
SG: R3m (160)
VASP energy: -6.17 eV/atom
magnetic moment: 0.00 Bohr magnetons per cell
ΔE_f (raw): -4.97 eV per formula unit

extended XYZ file:
```
4
Lattice="4.341 0.000 -0.001 -2.170 3.760 0.000 -2.171 -1.253 7.691" Properties=species:S:1:pos:R:3 pbc="T T T"
Bi 0.410 -0.275 4.721
La -1.761 0.978 6.914
Se -1.760 3.485 0.901
Th 2.580 0.978 2.612
```

3.
Computed, not measured: crystalline TlAsBr2 at its relaxed geometry at the PBE level of DFT.

## Properties
V: 30.96 A^3/atom
SG: R-3m (166)
VASP energy: -2.73 eV/atom
magnetic moment: 0.00 Bohr magnetons per cell
ΔE_f (raw): -0.55 eV per formula unit
offset from the most stable computed form: 0.124 eV per atom

extended XYZ file:
```
4
Lattice="-7.100 -0.601 7.311 -4.089 -1.990 9.140 -4.619 1.754 8.934" Properties=species:S:1:pos:R:3 pbc="T T T"
Br -14.444 -0.765 23.195
Br -1.364 -0.072 2.191
As 0.000 0.000 0.000
Tl -7.904 -0.419 12.693
```

Question: Which formula does entry 1 have?
Answer: AlCuPtO6